(1)
# Te2MoRu | the Alexandria database | PBE | optimized geometry
data_Te2MoRu
_symmetry_space_group_name_H-M 'F -4 3 m'
_symmetry_Int_Tables_number 216
_symmetry_space_group_name_Hall 'F -4 2 3'
_cell_length_a 6.801
_cell_length_b 6.801
_cell_length_c 6.801
_cell_angle_alpha 90.00
_cell_angle_beta 90.00
_cell_angle_gamma 90.00
loop_
_atom_site_label
_atom_site_fract_x
_atom_site_fract_y
_atom_site_fract_z
Te1 0.000 0.000 0.000
Te2 0.250 0.250 0.250
Mo1 0.250 0.250 0.750
Ru1 0.000 0.000 0.500
# theoretical density	9.5	Mg/m³
# uncorrected formation energy	0.91	eV per atom
# E above lowest polymorph	871	meV/atom
# total magnetic moment	0.00	μB/cell

(2)
# TlIn8Hg4 | the Alexandria database | PBE | optimized geometry
data_TlIn8Hg4
_symmetry_space_group_name_H-M 'P -1'
_symmetry_Int_Tables_number 2
_cell_length_a 6.001
_cell_length_b 6.018
_cell_length_c 10.326
_cell_angle_alpha 88.02
_cell_angle_beta 86.57
_cell_angle_gamma 71.41
loop_
_symmetry_equiv_pos_as_xyz
'x,y,z'
'-x,-y,-z'
loop_
_atom_site_label
_atom_site_fract_x
_atom_site_fract_y
_atom_site_fract_z
Tl1 0.000 0.000 0.000
In1 0.059 0.154 0.690
In2 0.170 0.302 0.385
In3 0.248 0.443 0.071
In4 0.308 0.597 0.761
Hg1 0.378 0.772 0.470
Hg2 0.474 0.930 0.163
# energy of formation from the pure elements	0.015	eV per atom
# theoretical density	9.1	Mg/m³
# E above lowest polymorph	0	meV/atom
# total magnetic moment	0.00	μB/cell

(3)
# Nd6GaNi2Br3 | the Alexandria database | PBE | optimized geometry
data_Nd6GaNi2Br3
_symmetry_space_group_name_H-M 'C 1 2/m 1'
_symmetry_Int_Tables_number 12
_cell_length_a 19.421
_cell_length_b 4.030
_cell_length_c 9.144
_cell_angle_alpha 90.00
_cell_angle_beta 108.01
_cell_angle_gamma 90.00
loop_
_symmetry_equiv_pos_as_xyz
'x,y,z'
'-x,-y,-z'
'-x,y,-z'
'x,-y,z'
'x+1/2,y+1/2,z'
'-x+1/2,-y+1/2,-z'
'-x+1/2,y+1/2,-z'
'x+1/2,-y+1/2,z'
loop_
_atom_site_label
_atom_site_fract_x
_atom_site_fract_y
_atom_site_fract_z
Nd1 0.014 0.000 0.246
Nd2 0.161 0.500 0.123
Nd3 0.179 0.500 0.554
Ga1 0.000 0.500 0.000
Ni1 0.168 0.000 0.339
Br1 0.000 0.500 0.500
Br2 0.162 0.000 0.836
# theoretical density	6.3	Mg/m³
# uncorrected formation energy	-0.81	eV per atom
# total magnetic moment	0.00	μB/cell